w) Below is Ta5Tc after structural relaxation, with properties calculated at the PBE level.

Calculated values
Density of states at the Fermi level (states/eV per atom): 0.97
SG: C2/m

Structure (POSCAR):
```
Ta5Tc
1.0
5.213 -1.616 0.000
5.213 1.616 0.000
-2.124 0.000 6.234
Ta Tc
5 1
Direct
0.000 0.000 0.000
0.336 0.336 0.175
0.339 0.339 0.662
0.661 0.661 0.338
0.664 0.664 0.825
0.000 0.000 0.500
```

x) Below is Ta5Tc after structural relaxation, with properties calculated at the PBE level.

Calculated values
Density of states at the Fermi level (states/eV per atom): 1.39
SG: P6/mmm

Structure (POSCAR):
```
Ta5Tc
1.0
5.277 0.000 0.000
-2.639 4.570 0.000
0.000 0.000 4.856
Ta Tc
5 1
Direct
0.000 0.500 0.000
0.333 0.667 0.500
0.500 0.000 0.000
0.500 0.500 0.000
0.667 0.333 0.500
0.000 0.000 0.500
```

Stability summary - winner: w); margin: 964 meV/atom.

w) Below is Ta5Tc after structural relaxation, with properties calculated at the PBE level.

Calculated values
Density of states at the Fermi level (states/eV per atom): 0.88
SG: P4/mmm

Structure (POSCAR):
```
Ta5Tc
1.0
3.242 0.000 0.000
0.000 3.242 0.000
0.000 0.000 10.003
Ta Tc
5 1
Direct
0.000 0.000 0.000
0.000 0.000 0.343
0.000 0.000 0.657
0.500 0.500 0.169
0.500 0.500 0.831
0.500 0.500 0.500
```

x) Below is Ta5Tc after structural relaxation, with properties calculated at the PBE level.

Calculated values
Density of states at the Fermi level (states/eV per atom): 1.02
SG: Cmmm

Structure (POSCAR):
```
Ta5Tc
1.0
1.625 -6.887 0.000
1.625 6.887 0.000
0.000 0.000 4.688
Ta Tc
5 1
Direct
0.000 0.000 0.000
0.161 0.839 0.500
0.333 0.667 0.000
0.667 0.333 0.000
0.839 0.161 0.500
0.500 0.500 0.500
```

Stability summary - winner: w); margin: 17 meV/atom.